1.
Compound: Hg3Br5Cl
Source: Alexandria via LeMat-Bulk
Functional: PBE-GGA
Structure: optimized geometry

```
Hg3Br5Cl
1.0
-1.826 1.227 6.924
6.455 -5.297 2.846
6.957 7.873 6.088
Br Hg Cl
10 6 2
Direct
0.314 0.146 0.960
0.686 0.854 0.040
0.624 0.930 0.618
0.959 0.321 0.312
0.425 0.569 0.360
0.710 0.364 0.027
0.041 0.679 0.688
0.290 0.636 0.973
0.575 0.431 0.640
0.376 0.070 0.382
0.667 0.658 0.836
0.767 0.627 0.446
0.233 0.373 0.554
0.333 0.342 0.164
0.000 0.000 0.500
0.000 0.000 0.000
0.985 0.826 0.284
0.015 0.174 0.716
```



2.
HgBrCl4 (PBE-GGA, optimized geometry); distance to the lowest polymorph of the same formula = 0 meV/atom
1.0
6.407 2.023 1.167
3.069 7.761 3.418
1.094 0.118 10.646
Cl Hg Br
8 2 2
Direct
0.294 0.030 0.887
0.694 0.718 0.615
0.194 0.833 0.385
0.706 0.970 0.113
0.794 0.417 0.113
0.306 0.282 0.385
0.806 0.167 0.615
0.206 0.583 0.887
0.250 0.948 0.603
0.750 0.052 0.397
0.250 0.307 0.886
0.750 0.693 0.114



3.
HgBr2Cl (PBE-GGA, optimized geometry); distance to the lowest polymorph of the same formula = 160 meV/atom
1.0
-5.206 2.408 0.949
0.075 -5.042 2.894
1.466 1.838 3.062
Br Cl Hg
2 1 1
Direct
0.957 0.043 0.000
0.223 0.777 0.500
0.569 0.431 0.000
0.751 0.249 0.500



4.
Compound: HgBrCl
Source: Alexandria via LeMat-Bulk
Functional: PBE-GGA
Structure: optimized geometry

```
HgBrCl
1.0
6.423 0.000 0.000
0.000 4.905 0.000
-0.838 0.000 6.783
Cl Hg Br
2 2 2
Direct
0.495 0.000 0.312
0.495 0.500 0.812
0.733 0.500 0.575
0.733 0.000 0.075
0.983 0.500 0.326
0.983 0.000 0.826
```



5.
HgBr2Cl (PBE-GGA, optimized geometry); distance to the lowest polymorph of the same formula = 213 meV/atom
1.0
2.420 0.000 8.595
-1.210 2.096 8.595
-1.210 -2.096 8.595
Br Hg Cl
2 1 1
Direct
0.102 0.102 0.102
0.898 0.898 0.898
0.500 0.500 0.500
0.000 0.000 0.000



6.
HgBr2Cl (PBE-GGA, optimized geometry); distance to the lowest polymorph of the same formula = 123 meV/atom
1.0
-2.360 -2.705 -1.420
3.731 -0.684 -4.900
3.457 -4.205 2.265
Hg Br Cl
1 2 1
Direct
0.500 0.818 0.672
0.500 0.149 0.311
0.000 0.965 0.952
0.000 0.567 0.565



7.
Compound: Hg2BrCl8
Source: Alexandria via LeMat-Bulk
Functional: PBE-GGA
Structure: optimized geometry

```
Hg2BrCl8
1.0
5.172 -0.065 0.017
0.089 7.007 2.194
-0.068 -3.312 9.017
Cl Br Hg
8 1 2
Direct
0.500 0.668 0.998
0.500 0.332 0.002
0.499 0.252 0.516
0.002 0.551 0.299
0.998 0.449 0.701
0.501 0.748 0.484
0.001 0.947 0.704
0.999 0.053 0.296
0.500 0.000 0.000
0.999 0.249 0.499
0.001 0.751 0.501
```



8.
Compound: HgBrCl
Source: Alexandria via LeMat-Bulk
Functional: PBE-GGA
Structure: optimized geometry

```
HgBrCl
1.0
6.103 0.000 0.000
0.000 4.181 0.000
-0.492 0.000 8.164
Hg Cl Br
2 2 2
Direct
0.993 0.404 0.756
0.007 0.904 0.244
0.761 0.252 0.100
0.239 0.752 0.900
0.735 0.041 0.603
0.265 0.541 0.397
```



9.
Compound: HgBrCl
Source: Alexandria via LeMat-Bulk
Functional: PBE-GGA
Structure: optimized geometry

```
HgBrCl
1.0
-1.755 2.454 -3.217
-2.385 -5.690 -3.040
-11.581 1.050 7.120
Br Hg Cl
4 4 4
Direct
0.622 0.750 0.274
0.378 0.250 0.726
0.122 0.250 0.226
0.878 0.750 0.774
0.540 0.750 0.631
0.460 0.250 0.369
0.960 0.750 0.131
0.040 0.250 0.869
0.285 0.750 0.997
0.715 0.250 0.003
0.215 0.750 0.497
0.785 0.250 0.503
```



10.
HgBr2Cl (PBE-GGA, optimized geometry); distance to the lowest polymorph of the same formula = 138 meV/atom
1.0
-8.961 -4.732 3.632
5.425 -3.742 8.512
-2.351 -2.139 7.366
Br Cl Hg
4 2 2
Direct
0.099 0.625 0.250
0.651 0.125 0.250
0.875 0.901 0.750
0.375 0.349 0.750
0.500 0.500 0.000
0.250 0.750 0.500
0.000 0.000 0.000
0.750 0.250 0.500



11.
Compound: Hg7Br12Cl
Source: Alexandria via LeMat-Bulk
Functional: PBE-GGA
Structure: optimized geometry

```
Hg7Br12Cl
1.0
9.588 -0.307 -2.988
-3.976 8.730 -2.988
-0.204 -0.307 10.041
Hg Br Cl
7 12 1
Direct
0.949 0.654 0.902
0.500 0.500 0.500
0.346 0.098 0.051
0.098 0.051 0.346
0.051 0.346 0.098
0.902 0.949 0.654
0.654 0.902 0.949
0.576 0.615 0.858
0.858 0.576 0.615
0.827 0.993 0.319
0.319 0.827 0.993
0.142 0.424 0.385
0.681 0.173 0.007
0.424 0.385 0.142
0.173 0.007 0.681
0.615 0.858 0.576
0.993 0.319 0.827
0.385 0.142 0.424
0.007 0.681 0.173
0.000 0.000 0.000
```



12.
HgBr2Cl (PBE-GGA, optimized geometry); distance to the lowest polymorph of the same formula = 183 meV/atom
1.0
-1.473 -0.711 5.929
-1.682 -5.895 -0.495
4.805 3.833 -0.198
Br Hg Cl
2 1 1
Direct
0.770 0.270 0.500
0.038 0.038 0.000
0.251 0.751 0.500
0.441 0.441 0.000



Computed final energy (eV per cell) in order:
-30.417; -21.574; -6.001; -10.799; -5.789; -6.148; -18.261; -10.776; -21.439; -12.179; -32.136; -5.907